Pm6CoSb2: optimized geometry, GGA-PBE.

Space group ... No. 189
Formation energy (no corrections) ... -5.1 eV/f.u.

Geometry as extended XYZ:
```
9
Lattice="4.093 0.000 0.000 0.000 8.522 0.000 0.000 -4.261 7.379" Properties=species:S:1:pos:R:3 pbc="T T T"
Pm 2.047 -2.519 4.363
Sb 0.000 0.000 4.919
Sb 0.000 4.261 2.460
Pm 0.000 7.515 1.742
Pm 0.000 2.013 0.000
Pm 2.047 5.036 0.000
Co 2.047 0.004 0.000
Pm 2.047 1.742 3.016
Pm 0.000 3.254 5.636
```


YBeIn2: optimized geometry, GGA-PBE.

Space group ... No. 122
Formation energy ... 234.7 meV/atom

Geometry as extended XYZ:
```
8
Lattice="-3.376 1.383 3.200 2.850 -1.470 3.642 3.356 7.912 3.801" Properties=species:S:1:pos:R:3 pbc="T T T"
Y -0.142 4.626 5.211
Be -0.263 -0.044 3.421
In 1.759 6.011 8.458
Be 2.971 3.199 5.433
Y 0.000 0.000 0.000
In 2.617 5.748 5.797
In -0.563 2.514 3.072
In 1.846 1.376 3.961
```


Number 1: total magnetization 0.00 μB per formula unit. Number 2: total magnetization 0.00 μB per formula unit.